The following is a DFT calculation (PBE-GGA) of a relaxed structure of TbY6Ho3Er2.

energy of formation	23	meV per atom
mass density	6.7	g/cm³

Structure (CIF):
```
data_TbY6Ho3Er2
_cell_length_a 6.1470
_cell_length_b 10.6333
_cell_length_c 11.7635
_cell_angle_alpha 90.00
_cell_angle_beta 99.98
_cell_angle_gamma 90.00
_space_group_name_H-M_alt 'C 1 2/m 1'
_space_group_IT_number 12
_space_group_name_Hall '-C 2y'
loop_
_atom_site_label
_atom_site_type_symbol
_atom_site_fract_x
_atom_site_fract_y
_atom_site_fract_z
Tb1 Tb 0.0000 0.0000 0.0000
Y1 Y 0.2500 0.0000 0.7500
Y2 Y 0.2504 0.1668 0.2500
Ho1 Ho 0.0000 0.1668 0.5000
Ho2 Ho 0.0000 0.5000 0.5000
Er1 Er 0.0000 0.3333 0.0000
```